SrLiGa2Pd | PBE | relaxed

space group: No. 119
total DFT energy (no corrections): -3.48 eV/atom
distance to the lowest polymorph of the same formula: 0.00 eV per formula unit

Cell lengths 5.878, 5.878, 5.878 Å; angles 133.57, 133.57, 67.77 degrees
Fractional coordinates of all 5 atoms:
Sr (0.000, 0.000, 0.000)
Li (0.250, 0.750, 0.500)
Ga (0.367, 0.367, 0.000)
Ga (0.633, 0.633, 0.000)
Pd (0.750, 0.250, 0.500)

---

SrLiGa4Pd2 | PBE | relaxed

space group: No. 166
total DFT energy (no corrections): -3.82 eV/atom

Cell lengths 9.598, 9.598, 9.598 Å; angles 26.16, 26.16, 26.16 degrees
Fractional coordinates of all 8 atoms:
Sr (0.000, 0.000, 0.000)
Li (0.500, 0.500, 0.500)
Ga (0.130, 0.130, 0.130)
Ga (0.407, 0.407, 0.407)
Ga (0.593, 0.593, 0.593)
Ga (0.870, 0.870, 0.870)
Pd (0.228, 0.228, 0.228)
Pd (0.772, 0.772, 0.772)

---

Sr2LiGa4Pd3 | PBE | relaxed

space group: No. 115
total DFT energy (no corrections): -3.92 eV/atom

Cell lengths 4.528, 4.528, 10.077 Å; angles 90.00, 90.00, 90.00 degrees
Fractional coordinates of all 10 atoms:
Sr (0.000, 0.500, 0.249)
Sr (0.500, 0.000, 0.751)
Li (0.500, 0.500, 0.000)
Ga (0.000, 0.000, 0.500)
Ga (0.000, 0.500, 0.879)
Ga (0.500, 0.000, 0.121)
Ga (0.500, 0.500, 0.500)
Pd (0.000, 0.000, 0.000)
Pd (0.000, 0.500, 0.627)
Pd (0.500, 0.000, 0.373)

---

SrLi2GaPd2 | PBE | relaxed

space group: No. 123
total DFT energy (no corrections): -3.50 eV/atom

Cell lengths 4.817, 4.817, 6.069 Å; angles 90.00, 90.00, 90.00 degrees
Fractional coordinates of all 6 atoms:
Sr (0.000, 0.000, 0.000)
Li (0.500, 0.500, 0.291)
Li (0.500, 0.500, 0.709)
Ga (0.000, 0.000, 0.500)
Pd (0.000, 0.500, 0.500)
Pd (0.500, 0.000, 0.500)

---

Sr2LiGaPd6 | PBE | relaxed

space group: No. 2
total DFT energy (no corrections): -4.44 eV/atom

Cell lengths 5.533, 6.661, 6.811 Å; angles 82.60, 66.39, 65.73 degrees
Fractional coordinates of all 10 atoms:
Sr (0.031, 0.222, 0.213)
Sr (0.969, 0.778, 0.787)
Li (0.500, 0.500, 0.000)
Ga (0.500, 0.000, 0.500)
Pd (0.003, 0.243, 0.745)
Pd (0.339, 0.416, 0.417)
Pd (0.492, 0.762, 0.248)
Pd (0.508, 0.238, 0.752)
Pd (0.661, 0.584, 0.583)
Pd (0.997, 0.757, 0.255)

---

SrLi2Ga2Pd2 | PBE | relaxed

space group: No. 12
total DFT energy (no corrections): -3.70 eV/atom

Cell lengths 4.405, 4.405, 8.412 Å; angles 104.91, 104.91, 59.79 degrees
Fractional coordinates of all 7 atoms:
Sr (0.000, 0.000, 0.000)
Li (0.139, 0.139, 0.421)
Li (0.861, 0.861, 0.579)
Ga (0.436, 0.436, 0.310)
Ga (0.564, 0.564, 0.690)
Pd (0.247, 0.247, 0.737)
Pd (0.753, 0.753, 0.263)

---

LiTb2Ga2Pd5 | PBE | relaxed

space group: No. 127
total DFT energy (no corrections): -5.00 eV/atom

Cell lengths 9.845, 9.845, 3.733 Å; angles 90.00, 90.00, 90.00 degrees
Fractional coordinates of all 20 atoms:
Li (0.000, 0.000, 0.000)
Li (0.500, 0.500, 0.000)
Tb (0.176, 0.324, 0.000)
Tb (0.324, 0.824, 0.000)
Tb (0.676, 0.176, 0.000)
Tb (0.824, 0.676, 0.000)
Ga (0.123, 0.623, 0.000)
Ga (0.377, 0.123, 0.000)
Ga (0.623, 0.877, 0.000)
Ga (0.877, 0.377, 0.000)
Pd (0.000, 0.500, 0.500)
Pd (0.065, 0.794, 0.500)
Pd (0.206, 0.065, 0.500)
Pd (0.294, 0.565, 0.500)
Pd (0.435, 0.294, 0.500)
Pd (0.500, 0.000, 0.500)
Pd (0.565, 0.706, 0.500)
Pd (0.706, 0.435, 0.500)
Pd (0.794, 0.935, 0.500)
Pd (0.935, 0.206, 0.500)

---

LiTbGaPd2 | PBE | relaxed

space group: No. 119
total DFT energy (no corrections): -4.71 eV/atom

Cell lengths 6.786, 6.786, 6.786 Å; angles 147.13, 147.13, 47.17 degrees
Fractional coordinates of all 5 atoms:
Li (0.000, 0.000, 0.000)
Tb (0.750, 0.250, 0.500)
Ga (0.500, 0.500, 0.000)
Pd (0.140, 0.640, 0.500)
Pd (0.360, 0.860, 0.500)

---

LiTbGaPd | PBE | relaxed

space group: No. 216
total DFT energy (no corrections): -4.29 eV/atom

Cell lengths 4.680, 4.680, 4.680 Å; angles 60.00, 60.00, 60.00 degrees
Fractional coordinates of all 4 atoms:
Li (0.000, 0.000, 0.000)
Tb (0.750, 0.750, 0.750)
Ga (0.250, 0.250, 0.250)
Pd (0.500, 0.500, 0.500)

---

LiTb2Ga4Pd3 | PBE | relaxed

space group: No. 115
total DFT energy (no corrections): -4.59 eV/atom

Cell lengths 4.015, 4.015, 11.602 Å; angles 90.00, 90.00, 90.00 degrees
Fractional coordinates of all 10 atoms:
Li (0.000, 0.000, 0.000)
Tb (0.000, 0.500, 0.745)
Tb (0.500, 0.000, 0.255)
Ga (0.000, 0.000, 0.500)
Ga (0.000, 0.500, 0.138)
Ga (0.500, 0.000, 0.862)
Ga (0.500, 0.500, 0.500)
Pd (0.000, 0.500, 0.357)
Pd (0.500, 0.000, 0.643)
Pd (0.500, 0.500, 0.000)

---

LiTbGa2Pd2 | PBE | relaxed

space group: No. 164
total DFT energy (no corrections): -4.56 eV/atom

Cell lengths 4.391, 4.391, 6.446 Å; angles 90.00, 90.00, 120.00 degrees
Fractional coordinates of all 6 atoms:
Li (0.000, 0.000, 0.000)
Tb (0.000, 0.000, 0.500)
Ga (0.333, 0.667, 0.805)
Ga (0.667, 0.333, 0.195)
Pd (0.333, 0.667, 0.214)
Pd (0.667, 0.333, 0.786)

---

LiGaTePd | PBE | relaxed

space group: No. 8
total DFT energy (no corrections): -3.76 eV/atom
distance to the lowest polymorph of the same formula: 0.24 eV per formula unit

Cell lengths 4.741, 4.741, 6.030 Å; angles 100.44, 100.44, 39.05 degrees
Fractional coordinates of all 4 atoms:
Li (0.000, 0.000, 0.000)
Ga (0.646, 0.646, 0.682)
Te (0.303, 0.303, 0.188)
Pd (0.362, 0.362, 0.651)

---

Which formula does entry 1 have?
SrLiGa2Pd